(1)
This record from Alexandria via LeMat-Bulk describes a relaxed YSiW crystal. The functional is PBE-GGA.

```
3
Lattice="-3.910 -1.145 1.279 3.426 -2.058 1.503 0.225 2.528 2.949" Properties=species:S:1:pos:R:3 pbc="T T T"
Si 0.037 0.422 0.492
W 1.018 -1.333 1.920
Y -1.315 0.235 3.319
```

Summary:
**Total magnetization**: 0.00 Bohr magnetons per cell
**Formation energy from raw total energies**: 0.006 eV/atom
**Space-group type**: P-6m2, No. 187

***

(2)
This record from Alexandria via LeMat-Bulk describes a relaxed YSiW2 crystal. The functional is PBE-GGA.

```
8
Lattice="4.090 0.000 0.000 0.000 4.090 0.000 2.045 2.045 9.602" Properties=species:S:1:pos:R:3 pbc="T T T"
Y 0.000 0.000 0.000
Y 4.090 2.045 4.801
Si 2.045 2.045 0.000
Si 2.045 4.090 4.801
W 1.302 1.022 2.401
W 2.788 3.067 2.401
W 3.067 4.833 7.202
W 5.112 3.347 7.202
```

Summary:
**Total magnetization**: 0.00 Bohr magnetons per cell
**Formation energy from raw total energies**: 0.590 eV/atom
**Space-group type**: I-42d, No. 122

***

Number 1: electronic total energy -8.274 eV/atom. Number 2: electronic total energy -8.858 eV/atom.